18
Lattice="7.995 0.000 0.000 0.000 7.882 0.000 -2.849 0.000 7.142" Properties=species:S:1:pos:R:3 comment="Sm3Ho2Ge4 PBE optimized geometry" formation_energy_ev_per_fu=-7.657 spacegroup=P2_1/c magnetic_moment_mub_per_cell=0.00 pbc="T T T"
Sm 0.000 0.000 0.000
Sm -1.424 3.941 3.571
Sm 1.181 1.428 3.102
Sm -0.243 2.513 6.673
Sm 5.390 5.369 0.470
Sm 3.965 6.454 4.041
Ho 1.324 5.238 1.921
Ho -0.100 6.585 5.492
Ho 5.247 1.297 1.650
Ho 3.823 2.644 5.221
Ge -1.723 1.010 4.473
Ge -0.299 2.931 0.902
Ge 1.414 4.246 4.798
Ge 2.838 7.577 1.227
Ge 2.309 0.305 5.915
Ge 3.733 3.636 2.344
Ge 5.446 4.951 6.240
Ge 6.870 6.872 2.669